Here is a relaxed structure of ZrSi3Os2 from Alexandria via LeMat-Bulk. Energies are from GGA-PBE.

Geometry as extended XYZ:
```
12
Lattice="5.2485 0.0000 0.0000 0.0000 2.9974 0.0000 -0.2364 0.0000 11.7336" Properties=species:S:1:pos:R:3 pbc="T T T"
Zr 0.5344 0.7494 3.0813
Zr 4.4777 2.2481 8.6523
Si 0.5174 0.7494 10.8950
Si 1.8207 2.2481 5.0304
Si 1.8802 0.7494 8.7957
Si 3.1320 2.2481 2.9379
Si 3.1914 0.7494 6.7033
Si 4.4947 2.2481 0.8386
Os 0.7473 0.7494 6.5722
Os 1.7325 2.2481 0.7612
Os 3.2797 0.7494 10.9724
Os 4.2648 2.2481 5.1614
```

Calculated values
Its crystal system is monoclinic. The total DFT energy (no corrections) comes out at -8.190 eV/atom. The calculation puts the formation energy from raw total energies at -0.31 eV/atom.

Here is a relaxed structure of SrLiAu from Alexandria via LeMat-Bulk. Energies are from GGA-PBE.

Geometry as extended XYZ:
```
3
Lattice="0.0000 3.5735 3.5735 3.5735 0.0000 3.5735 3.5735 3.5735 0.0000" Properties=species:S:1:pos:R:3 pbc="T T T"
Sr 0.0000 0.0000 0.0000
Li 3.5735 3.5735 3.5735
Au 5.3602 5.3602 5.3602
```

Calculated values
The offset from the most stable computed form is 146 meV per atom. Its formation energy is -0.43 eV per atom. Its crystal system is cubic. The total DFT energy (no corrections) comes out at -2.726 eV/atom.

Here is a relaxed structure of La3TbPm3 from Alexandria via LeMat-Bulk. Energies are from GGA-PBE.

Geometry as extended XYZ:
```
14
Lattice="4.4578 2.5737 7.3023 -4.4578 2.5737 7.3023 0.0000 -5.1475 7.3023" Properties=species:S:1:pos:R:3 pbc="T T T"
La -1.0762 -3.2404 8.5494
La -3.3443 -0.6881 13.3574
La -2.2681 2.5522 8.5494
La 2.2681 -2.5522 13.3574
La 3.3443 0.6881 8.5494
La 1.0762 3.2403 13.3574
Tb 0.0000 0.0000 7.7032
Tb 0.0000 0.0000 14.2036
Pm -2.9464 -0.8940 9.9120
Pm -0.6989 -2.9987 11.9948
Pm -2.2475 2.1047 11.9948
Pm 2.2475 -2.1047 9.9120
Pm 0.6990 2.9987 9.9120
Pm 2.9464 0.8940 11.9948
```

Calculated values
The offset from the most stable computed form is 190 meV per atom. Its formation energy is 0.22 eV per atom. Its crystal system is trigonal. The total DFT energy (no corrections) comes out at -4.586 eV/atom.

Here is a relaxed structure of Ag2IrSe from Alexandria via LeMat-Bulk. Energies are from GGA-PBE.

Geometry as extended XYZ:
```
8
Lattice="-3.8018 3.8018 2.5892 3.8018 -3.8018 2.5892 3.8018 3.8018 -2.5892" Properties=species:S:1:pos:R:3 pbc="T T T"
Ag 5.7027 1.8393 -0.6473
Ag 1.8393 1.9009 0.6473
Ag -1.9009 1.9625 1.9419
Ag 1.9625 1.9009 3.2365
Ir 3.8018 0.0000 1.2946
Ir 0.0000 0.0000 2.5892
Se 0.0000 0.0000 0.0000
Se 0.0000 3.8018 1.2946
```

Calculated values
Its crystal system is tetragonal. The total DFT energy (no corrections) comes out at -3.920 eV/atom. The calculation puts the formation energy from raw total energies at 0.59 eV/atom.

Here is a relaxed structure of Li7Cd3 from Alexandria via LeMat-Bulk. Energies are from GGA-PBE.

Geometry as extended XYZ:
```
10
Lattice="7.5281 -2.1841 0.0000 7.5281 2.1841 0.0000 -1.4985 0.0000 5.5969" Properties=species:S:1:pos:R:3 pbc="T T T"
Li 0.0000 0.0000 0.0000
Li 2.0959 0.0000 3.4151
Li 4.9586 0.0000 3.8510
Li 5.7206 0.0000 1.0823
Li 7.8371 0.0000 4.5146
Li 8.5992 0.0000 1.7459
Li 11.4619 0.0000 2.1818
Cd -0.7492 0.0000 2.7985
Cd 2.8313 0.0000 0.6334
Cd 10.7264 0.0000 4.9635
```

Calculated values
Its formation energy is -0.19 eV per atom. Its crystal system is monoclinic. The total DFT energy (no corrections) comes out at -1.801 eV/atom.

Here is a relaxed structure of PaAgTe from Alexandria via LeMat-Bulk. Energies are from GGA-PBE.

Geometry as extended XYZ:
```
6
Lattice="2.1975 -7.8503 0.0000 2.1975 7.8503 0.0000 0.0000 0.0000 4.5168" Properties=species:S:1:pos:R:3 pbc="T T T"
Pa 2.1975 3.9371 3.3876
Pa 2.1975 -3.9371 1.1292
Ag 2.1975 6.2670 1.1292
Ag 2.1975 -6.2670 3.3876
Te 2.1975 1.5736 1.1292
Te 2.1975 -1.5736 3.3876
```

Calculated values
Its crystal system is orthorhombic. The total DFT energy (no corrections) comes out at -5.319 eV/atom. The calculation puts the formation energy from raw total energies at -0.16 eV/atom.